1.
Zr2Cr: relaxed, PBE.

As for the formation enthalpy at 0 K: 523 meV/atom. For the density, the calculation gives 6.2 g/cm3.

Cell lengths 6.3208, 6.3208, 6.3208 Å; angles 90.00, 90.00, 90.00 degrees
Element x y z (fractional)
Zr  0.2500  0.2500  0.2500
Zr  0.2500  0.2500  0.7500
Zr  0.2500  0.7500  0.2500
Zr  0.2500  0.7500  0.7500
Zr  0.7500  0.2500  0.2500
Zr  0.7500  0.2500  0.7500
Zr  0.7500  0.7500  0.2500
Zr  0.7500  0.7500  0.7500
Cr  0.0000  0.0000  0.0000
Cr  0.0000  0.5000  0.5000
Cr  0.5000  0.0000  0.5000
Cr  0.5000  0.5000  0.0000


2.
ZrCr2: relaxed, PBE.

As for the formation enthalpy at 0 K: -49 meV/atom. For the density, the calculation gives 7.1 g/cm3.

Cell lengths 5.0501, 5.0501, 5.0501 Å; angles 60.00, 60.00, 60.00 degrees
Element x y z (fractional)
Zr  0.1250  0.1250  0.1250
Zr  0.8750  0.8750  0.8750
Cr  0.0000  0.5000  0.5000
Cr  0.5000  0.0000  0.5000
Cr  0.5000  0.5000  0.0000
Cr  0.5000  0.5000  0.5000


3.
Zr4Cr: relaxed, PBE.

As for the formation enthalpy at 0 K: 494 meV/atom. As for the relative energy among the computed polymorphs: 403 meV/atom. For the density, the calculation gives 6.0 g/cm3.

Cell lengths 4.8709, 4.8709, 4.8709 Å; angles 90.00, 90.00, 90.00 degrees
Element x y z (fractional)
Zr  0.0000  0.0000  0.0000
Zr  0.0000  0.5000  0.5000
Zr  0.5000  0.0000  0.5000
Zr  0.5000  0.5000  0.0000
Cr  0.5000  0.5000  0.5000


> The highest formation enthalpy at 0 K belongs to which entry?

Zr2Cr